No. 1
# SnPdPt4, relaxed, DFT PBE-GGA
data_SnPdPt4
_symmetry_space_group_name_H-M 'P -1'
_symmetry_Int_Tables_number 2
_cell_length_a 5.639
_cell_length_b 6.285
_cell_length_c 6.503
_cell_angle_alpha 95.77
_cell_angle_beta 104.11
_cell_angle_gamma 115.41
loop_
_symmetry_equiv_pos_as_xyz
'x,y,z'
'-x,-y,-z'
loop_
_atom_site_label
_atom_site_fract_x
_atom_site_fract_y
_atom_site_fract_z
Sn1 0.147 0.091 0.316
Pd1 0.356 0.917 0.669
Pt1 0.127 0.407 0.661
Pt2 0.127 0.746 0.005
Pt3 0.369 0.588 0.339
Pt4 0.383 0.257 0.000
# - Final energy: -5.81 eV per atom
# - Calculated volume: 196 Å³ per cell

=====

No. 2
# Sn2Pd3Pt5, relaxed, DFT PBE-GGA
data_Sn2Pd3Pt5
_symmetry_space_group_name_H-M 'I b a m'
_symmetry_Int_Tables_number 72
_symmetry_space_group_name_Hall '-I 2 2c'
_cell_length_a 10.705
_cell_length_b 12.819
_cell_length_c 5.366
_cell_angle_alpha 90.00
_cell_angle_beta 90.00
_cell_angle_gamma 90.00
loop_
_atom_site_label
_atom_site_fract_x
_atom_site_fract_y
_atom_site_fract_z
Sn1 0.137 0.150 0.000
Pd1 0.000 0.000 0.250
Pd2 0.118 0.225 0.500
Pt1 0.000 0.500 0.250
Pt2 0.116 0.346 0.000
Pt3 0.245 0.500 0.250
# - Final energy: -5.46 eV per atom
# - Calculated volume: 736 Å³ per cell

=====

No. 3
# SnPd2Pt4, relaxed, DFT PBE-GGA
data_SnPd2Pt4
_symmetry_space_group_name_H-M 'P 1'
_symmetry_Int_Tables_number 1
_cell_length_a 5.531
_cell_length_b 6.726
_cell_length_c 7.365
_cell_angle_alpha 63.40
_cell_angle_beta 69.13
_cell_angle_gamma 73.98
loop_
_symmetry_equiv_pos_as_xyz
'x,y,z'
loop_
_atom_site_label
_atom_site_fract_x
_atom_site_fract_y
_atom_site_fract_z
Sn1 0.000 0.000 0.000
Sn2 0.188 0.758 0.546
Pd1 0.137 0.572 0.291
Pd2 0.620 0.476 0.403
Pd3 0.762 0.049 0.683
Pd4 0.850 0.426 0.721
Pt1 0.052 0.190 0.258
Pt2 0.278 0.142 0.575
Pt3 0.338 0.335 0.829
Pt4 0.430 0.706 0.868
Pt5 0.485 0.904 0.114
Pt6 0.566 0.285 0.149
Pt7 0.703 0.860 0.432
Pt8 0.909 0.617 0.976
# - Final energy: -5.73 eV per atom
# - Calculated volume: 227 Å³ per cell

=====

No. 4
# SnPd4Pt5, relaxed, DFT PBE-GGA
data_SnPd4Pt5
_symmetry_space_group_name_H-M 'P -1'
_symmetry_Int_Tables_number 2
_cell_length_a 4.812
_cell_length_b 5.483
_cell_length_c 7.228
_cell_angle_alpha 68.97
_cell_angle_beta 88.90
_cell_angle_gamma 89.50
loop_
_symmetry_equiv_pos_as_xyz
'x,y,z'
'-x,-y,-z'
loop_
_atom_site_label
_atom_site_fract_x
_atom_site_fract_y
_atom_site_fract_z
Sn1 0.000 0.000 0.000
Pd1 0.168 0.584 0.335
Pd2 0.492 0.246 0.009
Pt1 0.000 0.500 0.000
Pt2 0.325 0.673 0.666
Pt3 0.337 0.161 0.658
# - Final energy: -5.48 eV per atom
# - Calculated volume: 178 Å³ per cell

=====

No. 5
# Sn2PdPt8, relaxed, DFT PBE-GGA
data_Sn2PdPt8
_symmetry_space_group_name_H-M 'C 1 2/m 1'
_symmetry_Int_Tables_number 12
_cell_length_a 15.604
_cell_length_b 3.881
_cell_length_c 6.455
_cell_angle_alpha 90.00
_cell_angle_beta 109.66
_cell_angle_gamma 90.00
loop_
_symmetry_equiv_pos_as_xyz
'x,y,z'
'-x,-y,-z'
'-x,y,-z'
'x,-y,z'
'x+1/2,y+1/2,z'
'-x+1/2,-y+1/2,-z'
'-x+1/2,y+1/2,-z'
'x+1/2,-y+1/2,z'
loop_
_atom_site_label
_atom_site_fract_x
_atom_site_fract_y
_atom_site_fract_z
Sn1 0.214 0.000 0.166
Pd1 0.000 0.500 0.500
Pt1 0.042 0.000 0.236
Pt2 0.086 0.500 0.959
Pt3 0.144 0.000 0.723
Pt4 0.171 0.500 0.424
# - Final energy: -5.81 eV per atom
# - Calculated volume: 368 Å³ per cell

=====

No. 6
# Sn2PdPt9, relaxed, DFT PBE-GGA
data_Sn2PdPt9
_symmetry_space_group_name_H-M 'P 4/m m m'
_symmetry_Int_Tables_number 123
_symmetry_space_group_name_Hall '-P 4 2'
_cell_length_a 4.022
_cell_length_b 4.022
_cell_length_c 12.108
_cell_angle_alpha 90.00
_cell_angle_beta 90.00
_cell_angle_gamma 90.00
loop_
_atom_site_label
_atom_site_fract_x
_atom_site_fract_y
_atom_site_fract_z
Sn1 0.000 0.000 0.173
Pd1 0.000 0.000 0.500
Pt1 0.000 0.500 0.000
Pt2 0.000 0.500 0.337
Pt3 0.500 0.500 0.167
Pt4 0.500 0.500 0.500
# - Final energy: -5.88 eV per atom
# - Calculated volume: 196 Å³ per cell

=====

No. 7
# SnPd3Pt7, relaxed, DFT PBE-GGA
data_SnPd3Pt7
_symmetry_space_group_name_H-M 'C 1 2/m 1'
_symmetry_Int_Tables_number 12
_cell_length_a 9.432
_cell_length_b 9.735
_cell_length_c 4.879
_cell_angle_alpha 90.00
_cell_angle_beta 120.92
_cell_angle_gamma 90.00
loop_
_symmetry_equiv_pos_as_xyz
'x,y,z'
'-x,-y,-z'
'-x,y,-z'
'x,-y,z'
'x+1/2,y+1/2,z'
'-x+1/2,-y+1/2,-z'
'-x+1/2,y+1/2,-z'
'x+1/2,-y+1/2,z'
loop_
_atom_site_label
_atom_site_fract_x
_atom_site_fract_y
_atom_site_fract_z
Sn1 0.000 0.000 0.000
Pd1 0.000 0.267 0.500
Pd2 0.000 0.500 0.000
Pt1 0.000 0.000 0.500
Pt2 0.171 0.258 0.171
Pt3 0.174 0.500 0.672
# - Final energy: -5.47 eV per atom
# - Calculated volume: 384 Å³ per cell

=====

No. 8
# SnPd2Pt2, relaxed, DFT PBE-GGA
data_SnPd2Pt2
_symmetry_space_group_name_H-M 'P -1'
_symmetry_Int_Tables_number 2
_cell_length_a 4.113
_cell_length_b 4.891
_cell_length_c 4.929
_cell_angle_alpha 79.33
_cell_angle_beta 65.46
_cell_angle_gamma 65.14
loop_
_symmetry_equiv_pos_as_xyz
'x,y,z'
'-x,-y,-z'
loop_
_atom_site_label
_atom_site_fract_x
_atom_site_fract_y
_atom_site_fract_z
Sn1 0.000 0.000 0.000
Pd1 0.196 0.404 0.203
Pt1 0.401 0.798 0.401
# - Final energy: -5.63 eV per atom
# - Calculated volume: 82 Å³ per cell

=====

No. 9
# SnPd3Pt3, relaxed, DFT PBE-GGA
data_SnPd3Pt3
_symmetry_space_group_name_H-M 'R -3'
_symmetry_Int_Tables_number 148
_symmetry_space_group_name_Hall '-R 3'
_cell_length_a 7.4856
_cell_length_b 7.4856
_cell_length_c 13.9156
_cell_angle_alpha 90.00
_cell_angle_beta 90.00
_cell_angle_gamma 120.00
loop_
_atom_site_label
_atom_site_fract_x
_atom_site_fract_y
_atom_site_fract_z
Sn1 0.0000 0.0000 0.2502
Pd1 0.0462 0.2378 0.4175
Pt1 0.0479 0.2390 0.9179
# - Final energy: -5.66 eV per atom
# - Calculated volume: 675 Å³ per cell

=====

No. 10
# Sn2PdPt3, relaxed, DFT PBE-GGA
data_Sn2PdPt3
_symmetry_space_group_name_H-M 'P m c 21'
_symmetry_Int_Tables_number 26
_cell_length_a 4.037
_cell_length_b 9.151
_cell_length_c 5.667
_cell_angle_alpha 90.00
_cell_angle_beta 90.00
_cell_angle_gamma 90.00
loop_
_symmetry_equiv_pos_as_xyz
'x,y,z'
'-x,-y,z+1/2'
'-x,y,z'
'x,-y,z+1/2'
loop_
_atom_site_label
_atom_site_fract_x
_atom_site_fract_y
_atom_site_fract_z
Sn1 0.000 0.140 0.000
Sn2 0.500 0.353 0.337
Pd1 0.500 0.021 0.269
Pt1 0.000 0.178 0.517
Pt2 0.000 0.489 0.060
Pt3 0.500 0.315 0.834
# - Final energy: -5.63 eV per atom
# - Calculated volume: 209 Å³ per cell

=====

No. 11
# SnPd4Pt2, relaxed, DFT PBE-GGA
data_SnPd4Pt2
_symmetry_space_group_name_H-M 'P -1'
_symmetry_Int_Tables_number 2
_cell_length_a 4.034
_cell_length_b 4.832
_cell_length_c 6.393
_cell_angle_alpha 97.88
_cell_angle_beta 90.11
_cell_angle_gamma 114.56
loop_
_symmetry_equiv_pos_as_xyz
'x,y,z'
'-x,-y,-z'
loop_
_atom_site_label
_atom_site_fract_x
_atom_site_fract_y
_atom_site_fract_z
Sn1 0.000 0.000 0.000
Pd1 0.287 0.575 0.856
Pd2 0.428 0.856 0.289
Pt1 0.143 0.286 0.430
# - Final energy: -5.57 eV per atom
# - Calculated volume: 112 Å³ per cell

=====

No. 12
# SnPd3Pt4, relaxed, DFT PBE-GGA
data_SnPd3Pt4
_symmetry_space_group_name_H-M 'I m m m'
_symmetry_Int_Tables_number 71
_symmetry_space_group_name_Hall '-I 2 2'
_cell_length_a 2.958
_cell_length_b 4.680
_cell_length_c 18.748
_cell_angle_alpha 90.00
_cell_angle_beta 90.00
_cell_angle_gamma 90.00
loop_
_atom_site_label
_atom_site_fract_x
_atom_site_fract_y
_atom_site_fract_z
Sn1 0.000 0.000 0.000
Pd1 0.000 0.000 0.249
Pd2 0.000 0.000 0.500
Pt1 0.000 0.500 0.129
Pt2 0.000 0.500 0.377
# - Final energy: -5.60 eV per atom
# - Calculated volume: 260 Å³ per cell

=====

No. 13
# Sn4Pd5Pt4, relaxed, DFT PBE-GGA
data_Sn4Pd5Pt4
_symmetry_space_group_name_H-M 'I 4/m'
_symmetry_Int_Tables_number 87
_symmetry_space_group_name_Hall '-I 4'
_cell_length_a 10.555
_cell_length_b 10.555
_cell_length_c 4.037
_cell_angle_alpha 90.00
_cell_angle_beta 90.00
_cell_angle_gamma 90.00
loop_
_atom_site_label
_atom_site_fract_x
_atom_site_fract_y
_atom_site_fract_z
Sn1 0.116 0.236 0.000
Pd1 0.000 0.000 0.000
Pd2 0.075 0.810 0.500
Pt1 0.091 0.606 0.000
# - Final energy: -5.52 eV per atom
# - Calculated volume: 450 Å³ per cell

=====

No. 14
# SnPd6Pt8, relaxed, DFT PBE-GGA
data_SnPd6Pt8
_symmetry_space_group_name_H-M 'R -3'
_symmetry_Int_Tables_number 148
_symmetry_space_group_name_Hall '-R 3'
_cell_length_a 7.4621
_cell_length_b 7.4621
_cell_length_c 15.9645
_cell_angle_alpha 90.00
_cell_angle_beta 90.00
_cell_angle_gamma 120.00
loop_
_atom_site_label
_atom_site_fract_x
_atom_site_fract_y
_atom_site_fract_z
Sn1 0.0000 0.0000 0.0000
Pd1 0.0215 0.7760 0.6363
Pt1 0.0000 0.0000 0.2300
Pt2 0.0107 0.6914 0.1385
# - Final energy: -5.50 eV per atom
# - Calculated volume: 770 Å³ per cell

=====

No. 15
# Sn2Pd3Pt, relaxed, DFT PBE-GGA
data_Sn2Pd3Pt
_symmetry_space_group_name_H-M 'I 41/a m d'
_symmetry_Int_Tables_number 141
_cell_length_a 8.518
_cell_length_b 8.518
_cell_length_c 12.470
_cell_angle_alpha 90.00
_cell_angle_beta 90.00
_cell_angle_gamma 90.00
loop_
_symmetry_equiv_pos_as_xyz
'x,y,z'
'-x,-y,-z'
'-y+1/4,x+3/4,z+1/4'
'y+1/4,-x+3/4,-z+1/4'
'-x+1/2,-y,z+1/2'
'x+1/2,y,-z+1/2'
'y+1/4,-x+1/4,z+3/4'
'-y+1/4,x+1/4,-z+3/4'
'x,-y,-z'
'-x,y,z'
'-y+1/4,-x+1/4,-z+3/4'
'y+1/4,x+1/4,z+3/4'
'-x+1/2,y,-z+1/2'
'x+1/2,-y,z+1/2'
'y+1/4,x+3/4,-z+1/4'
'-y+1/4,-x+3/4,z+1/4'
'x+1/2,y+1/2,z+1/2'
'-x+1/2,-y+1/2,-z+1/2'
'-y+3/4,x+1/4,z+3/4'
'y+3/4,-x+1/4,-z+3/4'
'-x,-y+1/2,z'
'x,y+1/2,-z'
'y+3/4,-x+3/4,z+1/4'
'-y+3/4,x+3/4,-z+1/4'
'x+1/2,-y+1/2,-z+1/2'
'-x+1/2,y+1/2,z+1/2'
'-y+3/4,-x+3/4,-z+1/4'
'y+3/4,x+3/4,z+1/4'
'-x,y+1/2,-z'
'x,-y+1/2,z'
'y+3/4,x+1/4,-z+3/4'
'-y+3/4,-x+1/4,z+3/4'
loop_
_atom_site_label
_atom_site_fract_x
_atom_site_fract_y
_atom_site_fract_z
Sn1 0.000 0.051 0.277
Pd1 0.000 0.000 0.500
Pd2 0.214 0.036 0.875
Pt1 0.000 0.250 0.766
# - Final energy: -5.22 eV per atom
# - Calculated volume: 905 Å³ per cell

=====

No. 16
# SnPd2Pt2, relaxed, DFT PBE-GGA
data_SnPd2Pt2
_symmetry_space_group_name_H-M 'I 4/m m m'
_symmetry_Int_Tables_number 139
_symmetry_space_group_name_Hall '-I 4 2'
_cell_length_a 5.079
_cell_length_b 5.079
_cell_length_c 7.698
_cell_angle_alpha 90.00
_cell_angle_beta 90.00
_cell_angle_gamma 90.00
loop_
_atom_site_label
_atom_site_fract_x
_atom_site_fract_y
_atom_site_fract_z
Sn1 0.000 0.000 0.000
Pd1 0.000 0.500 0.250
Pt1 0.000 0.000 0.338
# - Final energy: -5.13 eV per atom
# - Calculated volume: 199 Å³ per cell

=====

No. 17
# Sn2Pd3Pt7, relaxed, DFT PBE-GGA
data_Sn2Pd3Pt7
_symmetry_space_group_name_H-M 'P 1 2/m 1'
_symmetry_Int_Tables_number 10
_cell_length_a 3.865
_cell_length_b 3.963
_cell_length_c 13.939
_cell_angle_alpha 90.00
_cell_angle_beta 97.86
_cell_angle_gamma 90.00
loop_
_symmetry_equiv_pos_as_xyz
'x,y,z'
'-x,-y,-z'
'-x,y,-z'
'x,-y,z'
loop_
_atom_site_label
_atom_site_fract_x
_atom_site_fract_y
_atom_site_fract_z
Sn1 0.144 0.000 0.287
Pd1 0.000 0.000 0.000
Pd2 0.211 0.500 0.423
Pt1 0.075 0.500 0.150
Pt2 0.286 0.000 0.573
Pt3 0.427 0.000 0.853
Pt4 0.500 0.500 0.000
# - Final energy: -5.70 eV per atom
# - Calculated volume: 212 Å³ per cell

=====

No. 18
# Sn2Pd2Pt7, relaxed, DFT PBE-GGA
data_Sn2Pd2Pt7
_symmetry_space_group_name_H-M 'C 1 2/m 1'
_symmetry_Int_Tables_number 12
_cell_length_a 5.492
_cell_length_b 9.721
_cell_length_c 7.377
_cell_angle_alpha 90.00
_cell_angle_beta 101.27
_cell_angle_gamma 90.00
loop_
_symmetry_equiv_pos_as_xyz
'x,y,z'
'-x,-y,-z'
'-x,y,-z'
'x,-y,z'
'x+1/2,y+1/2,z'
'-x+1/2,-y+1/2,-z'
'-x+1/2,y+1/2,-z'
'x+1/2,-y+1/2,z'
loop_
_atom_site_label
_atom_site_fract_x
_atom_site_fract_y
_atom_site_fract_z
Sn1 0.245 0.000 0.213
Pd1 0.000 0.234 0.000
Pt1 0.000 0.000 0.500
Pt2 0.170 0.245 0.662
Pt3 0.215 0.500 0.145
# - Final energy: -5.72 eV per atom
# - Calculated volume: 386 Å³ per cell

=====

No. 19
# Sn2Pd4Pt5, relaxed, DFT PBE-GGA
data_Sn2Pd4Pt5
_symmetry_space_group_name_H-M 'P 1 2/m 1'
_symmetry_Int_Tables_number 10
_cell_length_a 7.050
_cell_length_b 2.866
_cell_length_c 9.257
_cell_angle_alpha 90.00
_cell_angle_beta 93.26
_cell_angle_gamma 90.00
loop_
_symmetry_equiv_pos_as_xyz
'x,y,z'
'-x,-y,-z'
'-x,y,-z'
'x,-y,z'
loop_
_atom_site_label
_atom_site_fract_x
_atom_site_fract_y
_atom_site_fract_z
Sn1 0.086 0.000 0.159
Pd1 0.170 0.500 0.409
Pd2 0.264 0.500 0.947
Pt1 0.192 0.000 0.669
Pt2 0.455 0.000 0.202
Pt3 0.500 0.000 0.500
# - Final energy: -5.45 eV per atom
# - Calculated volume: 187 Å³ per cell

=====

No. 20
# Sn5Pd12Pt2, relaxed, DFT PBE-GGA
data_Sn5Pd12Pt2
_symmetry_space_group_name_H-M 'C 1 2/m 1'
_symmetry_Int_Tables_number 12
_cell_length_a 15.066
_cell_length_b 5.547
_cell_length_c 8.728
_cell_angle_alpha 90.00
_cell_angle_beta 103.18
_cell_angle_gamma 90.00
loop_
_symmetry_equiv_pos_as_xyz
'x,y,z'
'-x,-y,-z'
'-x,y,-z'
'x,-y,z'
'x+1/2,y+1/2,z'
'-x+1/2,-y+1/2,-z'
'-x+1/2,y+1/2,-z'
'x+1/2,-y+1/2,z'
loop_
_atom_site_label
_atom_site_fract_x
_atom_site_fract_y
_atom_site_fract_z
Sn1 0.000 0.000 0.000
Sn2 0.129 0.500 0.375
Sn3 0.194 0.500 0.870
Pd1 0.018 0.500 0.850
Pd2 0.085 0.000 0.774
Pd3 0.151 0.252 0.110
Pd4 0.202 0.238 0.621
Pt1 0.000 0.247 0.500
# - Final energy: -5.24 eV per atom
# - Calculated volume: 710 Å³ per cell

=====

Number 1: formation enthalpy at 0 K -5.7 kcal/mol of atoms. Number 2: formation enthalpy at 0 K -1.9 kcal/mol of atoms. Number 3: formation enthalpy at 0 K -5.1 kcal/mol of atoms. Number 4: formation enthalpy at 0 K 0.4 kcal/mol of atoms. Number 5: formation enthalpy at 0 K -5.0 kcal/mol of atoms. Number 6: formation enthalpy at 0 K -5.7 kcal/mol of atoms. Number 7: formation enthalpy at 0 K 3.4 kcal/mol of atoms. Number 8: formation enthalpy at 0 K -7.8 kcal/mol of atoms. Number 9: formation enthalpy at 0 K -6.2 kcal/mol of atoms. Number 10: formation enthalpy at 0 K -9.6 kcal/mol of atoms. Number 11: formation enthalpy at 0 K -7.0 kcal/mol of atoms. Number 12: formation enthalpy at 0 K -3.1 kcal/mol of atoms. Number 13: formation enthalpy at 0 K -9.9 kcal/mol of atoms. Number 14: formation enthalpy at 0 K 1.6 kcal/mol of atoms. Number 15: formation enthalpy at 0 K -6.6 kcal/mol of atoms. Number 16: formation enthalpy at 0 K 3.8 kcal/mol of atoms. Number 17: formation enthalpy at 0 K -4.9 kcal/mol of atoms. Number 18: formation enthalpy at 0 K -4.7 kcal/mol of atoms. Number 19: formation enthalpy at 0 K -1.9 kcal/mol of atoms. Number 20: formation enthalpy at 0 K -6.2 kcal/mol of atoms.